LiZnAgSn: relaxed, GGA-PBE.

a b c (Å): 4.280 4.280 7.972
angles (deg): 90.00 90.00 90.00
Atoms (fractional coordinates):
Li1 0.000 0.000 0.000
Li2 0.500 0.500 0.500
Zn1 0.000 0.500 0.250
Zn2 0.500 0.000 0.750
Ag1 0.000 0.000 0.500
Ag2 0.500 0.500 0.000
Sn1 0.000 0.500 0.750
Sn2 0.500 0.000 0.250

Output
Distance to the lowest polymorph of the same formula = 0.0 meV/atom
Symmetry = No. 119


Li2Zn2Ag5Sn: relaxed, GGA-PBE.

a b c (Å): 9.449 9.449 4.165
angles (deg): 90.00 90.00 90.00
Atoms (fractional coordinates):
Li1 0.174 0.326 0.000
Li2 0.326 0.826 0.000
Li3 0.674 0.174 0.000
Li4 0.826 0.674 0.000
Zn1 0.122 0.622 0.000
Zn2 0.378 0.122 0.000
Zn3 0.622 0.878 0.000
Zn4 0.878 0.378 0.000
Ag1 0.000 0.500 0.500
Ag2 0.084 0.799 0.500
Ag3 0.201 0.084 0.500
Ag4 0.299 0.584 0.500
Ag5 0.416 0.299 0.500
Ag6 0.500 0.000 0.500
Ag7 0.584 0.701 0.500
Ag8 0.701 0.416 0.500
Ag9 0.799 0.916 0.500
Ag10 0.916 0.201 0.500
Sn1 0.000 0.000 0.000
Sn2 0.500 0.500 0.000

Output
Symmetry = No. 127


Sr2Li2Ag15: relaxed, GGA-PBE.

a b c (Å): 7.386 7.386 7.386
angles (deg): 82.14 82.14 82.14
Atoms (fractional coordinates):
Sr1 0.156 0.156 0.156
Sr2 0.844 0.844 0.844
Li1 0.406 0.406 0.406
Li2 0.594 0.594 0.594
Ag1 0.000 0.500 0.500
Ag2 0.155 0.155 0.654
Ag3 0.155 0.654 0.155
Ag4 0.201 0.500 0.799
Ag5 0.201 0.799 0.500
Ag6 0.346 0.845 0.845
Ag7 0.500 0.000 0.500
Ag8 0.500 0.201 0.799
Ag9 0.500 0.500 0.000
Ag10 0.500 0.799 0.201
Ag11 0.654 0.155 0.155
Ag12 0.799 0.201 0.500
Ag13 0.799 0.500 0.201
Ag14 0.845 0.346 0.845
Ag15 0.845 0.845 0.346

Output
Symmetry = No. 166


no.,VASP energy (eV/cell),ΔH_f (0 K) (eV/atom)
1,-21.33,-0.16
2,-50.94,-0.08
3,-52.79,-0.15